1:
Er4Ge2N | PBE | optimized geometry

The calculation puts the calculated volume at 149 Å³/f.u. The magnetization comes out at 0.00 μB per formula unit.

The structure belongs to space group C2/m (No. 12); the cell edges are 14.4328, 3.6947 and 5.7238 Å and the angles 90.00°, 102.00° and 90.00°. The inequivalent atoms are Er at (0.0698, 0.0000, 0.2705), Er at (0.1360, 0.5000, 0.8355), Ge at (0.2344, 0.5000, 0.3451) and N at (0.0000, 0.5000, 0.0000).


2:
Er4Ge2N | PBE | optimized geometry

The calculation puts the calculated volume at 156 Å³/f.u. The magnetization comes out at 0.00 μB per formula unit.

The structure belongs to space group I4/mmm (No. 139); the cell edges are 4.5430, 4.5430 and 15.1060 Å and the angles 90.00°, 90.00° and 90.00°. The inequivalent atoms are Er at (0.0000, 0.0000, 0.1685), Er at (0.0000, 0.5000, 0.0000), Ge at (0.0000, 0.0000, 0.3618) and N at (0.0000, 0.0000, 0.0000).


Stability summary - winner: 2; margin: 10.4 kJ/mol of atoms.


1:
Nd2ErGe | PBE | optimized geometry

The calculation puts the calculated volume at 108 Å³/f.u. The magnetization comes out at 0.00 μB per formula unit.

The structure belongs to space group P4/mmm (No. 123); the cell edges are 4.7419, 4.7419 and 4.8040 Å and the angles 90.00°, 90.00° and 90.00°. The inequivalent atoms are Nd at (0.0000, 0.5000, 0.0000), Er at (0.0000, 0.0000, 0.5000) and Ge at (0.5000, 0.5000, 0.5000).


2:
Nd2ErGe | PBE | optimized geometry

The calculation puts the calculated volume at 129 Å³/f.u. The magnetization comes out at 0.00 μB per formula unit.

The structure belongs to space group R-3m (No. 166, hexagonal axes); the cell edges are 3.6721, 3.6721 and 33.1126 Å and the angles 90.00°, 90.00° and 120.00°. The inequivalent atoms are Nd at (0.0000, 0.0000, 0.1036), Er at (0.0000, 0.0000, 0.0000) and Ge at (0.0000, 0.0000, 0.5000).


Stability summary - winner: 1; margin: 32.4 kJ/mol of atoms.


1:
NdErGePd | PBE | optimized geometry

The calculation puts the calculated volume at 93 Å³/f.u. The magnetization comes out at 0.00 μB per formula unit.

The structure belongs to space group F-43m (No. 216); the cell edges are 7.1838, 7.1838 and 7.1838 Å and the angles 90.00°, 90.00° and 90.00°. The inequivalent atoms are Nd at (0.0000, 0.0000, 0.0000), Er at (0.0000, 0.0000, 0.5000), Ge at (0.2500, 0.2500, 0.7500) and Pd at (0.2500, 0.2500, 0.2500).


2:
NdErGePd | PBE | optimized geometry

The calculation puts the calculated volume at 95 Å³/f.u. The magnetization comes out at 0.00 μB per formula unit.

The structure belongs to space group Amm2 (No. 38); the cell edges are 4.3355, 3.9922 and 11.0255 Å and the angles 90.00°, 90.00° and 90.00°. The inequivalent atoms are Nd at (0.0000, 0.0000, 0.0000), Er at (0.5000, 0.0000, 0.7232), Ge at (0.5000, 0.0000, 0.4354) and Pd at (0.0000, 0.0000, 0.2767).


Stability summary - winner: 2; margin: 8.7 kJ/mol of atoms.


1:
NdErGePt | PBE | optimized geometry

The calculation puts the calculated volume at 92 Å³/f.u. The magnetization comes out at 0.00 μB per formula unit.

The structure belongs to space group F-43m (No. 216); the cell edges are 7.1759, 7.1759 and 7.1759 Å and the angles 90.00°, 90.00° and 90.00°. The inequivalent atoms are Nd at (0.0000, 0.0000, 0.0000), Er at (0.0000, 0.0000, 0.5000), Ge at (0.2500, 0.2500, 0.2500) and Pt at (0.2500, 0.2500, 0.7500).


2:
NdErGePt | PBE | optimized geometry

The calculation puts the calculated volume at 95 Å³/f.u. The magnetization comes out at 0.00 μB per formula unit.

The structure belongs to space group Amm2 (No. 38); the cell edges are 4.2910, 3.9807 and 11.0882 Å and the angles 90.00°, 90.00° and 90.00°. The inequivalent atoms are Nd at (0.0000, 0.0000, 0.0000), Er at (0.5000, 0.0000, 0.2776), Ge at (0.5000, 0.0000, 0.5670) and Pt at (0.0000, 0.0000, 0.7283).


Stability summary - winner: 2; margin: 14.7 kJ/mol of atoms.


1:
Er2Ni5Ge3 | PBE | optimized geometry

The calculation puts the calculated volume at 152 Å³/f.u. The magnetization comes out at 0.00 μB per formula unit.

The structure belongs to space group Cmc2_1 (No. 36); the cell edges are 4.0197, 22.8396 and 6.6424 Å and the angles 90.00°, 90.00° and 90.00°. The inequivalent atoms are Er at (0.0000, 0.0096, 0.0000), Er at (0.0000, 0.3311, 0.9567), Ni at (0.0000, 0.1044, 0.2271), Ni at (0.0000, 0.2038, 0.0938), Ni at (0.0000, 0.2240, 0.7063), Ni at (0.0000, 0.3721, 0.5067), Ni at (0.0000, 0.4435, 0.1959), Ge at (0.0000, 0.1213, 0.7834), Ge at (0.0000, 0.2683, 0.3936) and Ge at (0.0000, 0.4473, 0.7912).


2:
Er2Ni5Ge3 | PBE | optimized geometry

The calculation puts the calculated volume at 159 Å³/f.u. The magnetization comes out at 0.00 μB per formula unit.

The structure belongs to space group P-4m2 (No. 115); the cell edges are 3.8469, 3.8469 and 10.7682 Å and the angles 90.00°, 90.00° and 90.00°. The inequivalent atoms are Er at (0.0000, 0.5000, 0.2061), Ni at (0.0000, 0.0000, 0.0000), Ni at (0.0000, 0.0000, 0.5000), Ni at (0.0000, 0.5000, 0.8641), Ni at (0.5000, 0.5000, 0.0000), Ge at (0.0000, 0.5000, 0.6525) and Ge at (0.5000, 0.5000, 0.5000).


Stability summary - winner: 1; margin: 15.6 kJ/mol of atoms.


1:
Er2NiGe3 | PBE | optimized geometry

The calculation puts the calculated volume at 117 Å³/f.u. The magnetization comes out at 0.00 μB per formula unit.

The structure belongs to space group Pmm2 (No. 25); the cell edges are 3.9798, 4.1888 and 7.0389 Å and the angles 90.00°, 90.00° and 90.00°. The inequivalent atoms are Er at (0.0000, 0.0000, 0.0000), Er at (0.0000, 0.5000, 0.4902), Ni at (0.5000, 0.0000, 0.3125), Ge at (0.5000, 0.0000, 0.6370), Ge at (0.5000, 0.5000, 0.1796) and Ge at (0.5000, 0.5000, 0.8283).


2:
Er2NiGe3 | PBE | optimized geometry

The calculation puts the calculated volume at 113 Å³/f.u. The magnetization comes out at 0.00 μB per formula unit.

The structure belongs to space group Cm (No. 8); the cell edges are 10.4079, 4.1929 and 6.8520 Å and the angles 90.00°, 130.77° and 90.00°. The inequivalent atoms are Er at (0.0000, 0.0000, 0.0000), Er at (0.1161, 0.0000, 0.5997), Ni at (0.3823, 0.0000, 0.5506), Ge at (0.1742, 0.5000, 0.9392), Ge at (0.2445, 0.5000, 0.4257) and Ge at (0.3878, 0.0000, 0.1934).


Stability summary - winner: 1; margin: 1.2 kJ/mol of atoms.


1:
Er3Ni7Ge2 | PBE | optimized geometry

The calculation puts the calculated volume at 198 Å³/f.u. The magnetization comes out at 0.00 μB per formula unit.

The structure belongs to space group Cmmm (No. 65); the cell edges are 3.9524, 27.4443 and 3.6528 Å and the angles 90.00°, 90.00° and 90.00°. The inequivalent atoms are Er at (0.0000, 0.0000, 0.0000), Er at (0.0000, 0.2032, 0.0000), Ni at (0.0000, 0.1305, 0.5000), Ni at (0.0000, 0.2920, 0.5000), Ni at (0.0000, 0.3642, 0.0000), Ni at (0.0000, 0.5000, 0.5000) and Ge at (0.0000, 0.4176, 0.5000).


2:
Er3Ni7Ge2 | PBE | optimized geometry

The calculation puts the calculated volume at 188 Å³/f.u. The magnetization comes out at 0.00 μB per formula unit.

The structure belongs to space group I4/mmm (No. 139); the cell edges are 3.7937, 3.7937 and 26.0890 Å and the angles 90.00°, 90.00° and 90.00°. The inequivalent atoms are Er at (0.0000, 0.0000, 0.0000), Er at (0.0000, 0.0000, 0.1757), Ni at (0.0000, 0.0000, 0.2791), Ni at (0.0000, 0.0000, 0.5000), Ni at (0.0000, 0.5000, 0.0758) and Ge at (0.0000, 0.0000, 0.3713).


Stability summary - winner: 2; margin: 12.7 kJ/mol of atoms.


1:
Er2Ni2Ge3 | PBE | optimized geometry

The calculation puts the calculated volume at 122 Å³/f.u. The magnetization comes out at 0.00 μB per formula unit.

The structure belongs to space group Cmcm (No. 63); the cell edges are 4.1139, 17.6974 and 6.7024 Å and the angles 90.00°, 90.00° and 90.00°. The inequivalent atoms are Er at (0.0000, 0.0503, 0.2500), Er at (0.0000, 0.1593, 0.7500), Ni at (0.0000, 0.3019, 0.5539), Ge at (0.0000, 0.2214, 0.2500) and Ge at (0.0000, 0.4324, 0.0590).


2:
Er2Ni2Ge3 | PBE | optimized geometry

The calculation puts the calculated volume at 121 Å³/f.u. The magnetization comes out at 0.00 μB per formula unit.

The structure belongs to space group C2/m (No. 12); the cell edges are 10.0109, 4.0218 and 6.5863 Å and the angles 90.00°, 113.84° and 90.00°. The inequivalent atoms are Er at (0.1485, 0.0000, 0.2840), Ni at (0.1417, 0.0000, 0.7420), Ge at (0.0000, 0.5000, 0.5000) and Ge at (0.1180, 0.5000, 0.9470).


Stability summary - winner: 1; margin: 11.9 kJ/mol of atoms.